Material: RbDySO
Method: DFT, GGA-PBE
State: relaxed

Cell: 4.160 4.160 9.885 Å, 90.00 90.00 90.00°
Space group P4/nmm (No. 129, origin choice 2)
One atom of each set of equivalent atoms:
Rb 0.250 0.750 0.000
Dy 0.250 0.250 0.404
S 0.250 0.250 0.765
O 0.250 0.750 0.500

=====

Material: KDySeO
Method: DFT, GGA-PBE
State: relaxed

Cell: 5.792 5.788 11.470 Å, 90.00 103.46 90.00°
Space group C2 (No. 5)
One atom of each set of equivalent atoms:
K 0.208 0.000 0.397
Dy 0.206 0.279 0.909
Se 0.160 0.499 0.285
O 0.000 0.031 0.000
O 0.000 0.533 0.000

=====

Distance to the lowest polymorph of the same formula (computed, meV/atom): 358 5